# TlAgBr2 | the Alexandria database | PBE | optimized geometry
data_TlAgBr2
_cell_length_a 4.051
_cell_length_b 4.051
_cell_length_c 8.200
_cell_angle_alpha 90.00
_cell_angle_beta 90.00
_cell_angle_gamma 90.00
_space_group_name_H-M_alt 'P 4 m m'
_space_group_IT_number 99
_space_group_name_Hall 'P 4 -2'
loop_
_atom_site_label
_atom_site_type_symbol
_atom_site_fract_x
_atom_site_fract_y
_atom_site_fract_z
Tl1 Tl 0.000 0.000 0.000
Ag1 Ag 0.500 0.500 0.515
Br1 Br 0.000 0.000 0.586
Br2 Br 0.500 0.500 0.178
# E_form (uncorrected) = -528 meV/atom
# Calculated density = 5.83 g/cm3
# DOS(E_F) = 0.000 states/eV per atom